A plane-wave DFT calculation with PBE was carried out for a relaxed structure of NaCa5Zn2.

Results
Energy relative to the elements   -0.88 eV per formula unit
E_tot   -1.845 eV per atom
Symmetry   I4/mcm (140)

Cell lengths 8.390, 8.390, 9.509 Å; angles 116.18, 116.18, 90.00 degrees
Fractional coordinates of all 16 atoms:
Na (0.750, 0.750, 0.500)
Na (0.250, 0.250, 0.500)
Ca (0.522, 0.705, 0.727)
Ca (0.795, 0.978, 0.273)
Ca (0.000, 0.000, 0.000)
Ca (0.500, 0.500, 0.000)
Ca (0.205, 0.022, 0.727)
Ca (0.705, 0.205, 0.727)
Ca (0.022, 0.522, 0.727)
Ca (0.295, 0.795, 0.273)
Ca (0.978, 0.478, 0.273)
Ca (0.478, 0.295, 0.273)
Zn (0.129, 0.371, 0.000)
Zn (0.629, 0.129, 0.000)
Zn (0.371, 0.871, 0.000)
Zn (0.871, 0.629, 0.000)